Record 1
! Zn2InAg2 (GGA-PBE, optimized geometry); values from VASP
! Excess energy over the best structure of this formula in the dataset, meV/atom: 0
! Crystal system: triclinic
! Total magnetic moment, μB/cell: 0.000
! Calculated total energy, eV per atom: -2.194
! Space group: P-1
&SYSTEM
  ibrav = 0, nat = 10, ntyp = 3
/
ATOMIC_SPECIES
Zn 65.41 Zn.upf
In 114.82 In.upf
Ag 107.87 Ag.upf
CELL_PARAMETERS angstrom
5.221 0.000 0.000
2.537 4.823 0.000
0.139 2.613 7.101
ATOMIC_POSITIONS angstrom
Zn 0.808 1.170 0.295
Zn 3.420 4.940 3.221
Zn 4.477 2.495 3.880
Zn 7.089 6.265 6.806
In 4.393 6.768 5.296
In 3.504 0.668 1.805
Ag 1.616 2.774 2.429
Ag 3.676 4.070 6.012
Ag 4.221 3.365 1.089
Ag 6.281 4.661 4.672

Record 2
! Zn2InAg (GGA-PBE, optimized geometry); values from VASP
! Crystal system: trigonal
! Total magnetic moment, μB/cell: 0.000
! Calculated total energy, eV per atom: -1.976
! Space group: R-3m
&SYSTEM
  ibrav = 0, nat = 4, ntyp = 3
/
ATOMIC_SPECIES
Zn 65.41 Zn.upf
In 114.82 In.upf
Ag 107.87 Ag.upf
CELL_PARAMETERS angstrom
1.540 0.889 9.140
-1.540 0.889 9.140
0.000 -1.778 9.140
ATOMIC_POSITIONS angstrom
Zn 0.000 0.000 6.695
Zn 0.000 0.000 20.724
In 0.000 0.000 0.000
Ag 0.000 0.000 13.710

Record 3
! Zn2InAg (GGA-PBE, optimized geometry); values from VASP
! Crystal system: monoclinic
! Total magnetic moment, μB/cell: 0.000
! Calculated total energy, eV per atom: -1.983
! Space group: C2/m
&SYSTEM
  ibrav = 0, nat = 4, ntyp = 3
/
ATOMIC_SPECIES
Zn 65.41 Zn.upf
In 114.82 In.upf
Ag 107.87 Ag.upf
CELL_PARAMETERS angstrom
4.535 -1.762 0.000
4.535 1.762 0.000
-0.933 0.000 4.709
ATOMIC_POSITIONS angstrom
Zn 2.001 0.000 1.054
Zn 6.135 0.000 3.655
In -0.467 0.000 2.355
Ag 4.535 0.000 0.000

Record 4
! Zn6InAg5 (GGA-PBE, optimized geometry); values from VASP
! Excess energy over the best structure of this formula in the dataset, meV/atom: 0
! Crystal system: triclinic
! Total magnetic moment, μB/cell: 0.000
! Calculated total energy, eV per atom: -2.048
! Space group: P-1
&SYSTEM
  ibrav = 0, nat = 12, ntyp = 3
/
ATOMIC_SPECIES
Zn 65.41 Zn.upf
In 114.82 In.upf
Ag 107.87 Ag.upf
CELL_PARAMETERS angstrom
4.545 0.000 0.000
0.033 6.477 0.000
1.877 -0.008 6.814
ATOMIC_POSITIONS angstrom
Zn 0.012 1.710 0.002
Zn 2.150 1.662 2.363
Zn 2.165 4.809 2.367
Zn 4.289 1.660 4.446
Zn 4.304 4.806 4.451
Zn 6.442 4.759 6.812
In 2.272 0.000 0.000
Ag 2.012 3.231 4.590
Ag 2.011 -0.003 4.558
Ag 2.289 3.238 0.000
Ag 4.443 6.471 2.255
Ag 4.442 3.238 2.224

Record 5
! Zn2InAg (GGA-PBE, optimized geometry); values from VASP
! Crystal system: tetragonal
! Total magnetic moment, μB/cell: 0.000
! Calculated total energy, eV per atom: -1.961
! Space group: I4/mmm
&SYSTEM
  ibrav = 0, nat = 4, ntyp = 3
/
ATOMIC_SPECIES
Zn 65.41 Zn.upf
In 114.82 In.upf
Ag 107.87 Ag.upf
CELL_PARAMETERS angstrom
-2.107 2.107 4.138
2.107 -2.107 4.138
2.107 2.107 -4.138
ATOMIC_POSITIONS angstrom
Zn 2.107 0.000 2.069
Zn 0.000 2.107 2.069
In 0.000 0.000 0.000
Ag 0.000 0.000 4.138

Record 6
! Zn2InAg7 (GGA-PBE, optimized geometry); values from VASP
! Excess energy over the best structure of this formula in the dataset, meV/atom: 168
! Crystal system: orthorhombic
! Total magnetic moment, μB/cell: 0.000
! Calculated total energy, eV per atom: -2.292
! Space group: Cmmm
&SYSTEM
  ibrav = 0, nat = 10, ntyp = 3
/
ATOMIC_SPECIES
Zn 65.41 Zn.upf
In 114.82 In.upf
Ag 107.87 Ag.upf
CELL_PARAMETERS angstrom
3.757 -6.511 0.000
3.757 6.511 0.000
0.000 0.000 4.629
ATOMIC_POSITIONS angstrom
Zn 3.757 3.913 0.000
Zn 3.757 -3.913 0.000
In 3.757 0.000 2.314
Ag 0.000 0.000 0.000
Ag 2.368 1.498 0.000
Ag 3.757 2.777 2.314
Ag 2.368 -1.498 0.000
Ag 5.146 1.498 0.000
Ag 3.757 -2.777 2.314
Ag 5.146 -1.498 0.000

The records above give, respectively, density values of 8569; 7820; 7801; 8666; 7990; 7338 kg/m³.